# 1
Entry from Alexandria: an optimized crystal structure of Ce3Sm4PuS8 (PBE).

E_form (uncorrected): -2.01 eV per atom
theoretical density: 6936 kg/m³
density of states at the Fermi level: 21.65 states/eV/f.u.

a = 8.0123 Å, b = 8.0234 Å, c = 8.0129 Å
α = 119.96°, β = 120.00°, γ = 90.00°
Last column: nearest neighbours and their distance in Å.
Fractional positions:
1 Pu 0.0000 0.5000 0.0000  6 S 2.82
2 S 0.7507 0.7520 0.5014  3 Sm 2.83, 3 Ce 2.84
3 S 0.7515 0.2506 0.5029  1 Pu 2.82, 3 Sm 2.83-2.85, 2 Ce 2.84
4 S 0.2485 0.7494 0.4971  1 Pu 2.82, 3 Sm 2.83-2.85, 2 Ce 2.84
5 S 0.2485 0.7495 0.0009  1 Pu 2.82, 3 Sm 2.83-2.85, 2 Ce 2.84
6 S 0.2493 0.2480 0.4986  3 Sm 2.83, 3 Ce 2.84
7 S 0.7515 0.2505 0.9991  1 Pu 2.82, 3 Sm 2.83-2.85, 2 Ce 2.84
8 S 0.7524 0.7495 0.0009  1 Pu 2.82, 3 Sm 2.83-2.85, 2 Ce 2.84
9 S 0.2476 0.2505 0.9991  1 Pu 2.82, 3 Sm 2.83-2.85, 2 Ce 2.84
10 Ce 0.0000 0.5000 0.5000  6 S 2.84
11 Ce 0.5000 0.5000 0.0000  6 S 2.84
12 Ce 0.5000 0.5000 0.5000  6 S 2.84
13 Sm 0.0000 0.0000 0.0000  6 S 2.83
14 Sm 0.5000 0.0000 0.0000  6 S 2.85
15 Sm 0.5000 0.0000 0.5000  6 S 2.83
16 Sm 0.0000 0.0000 0.5000  6 S 2.83

# 2
Entry from Alexandria: an optimized crystal structure of Mn2Zn9Pd (PBE).

ΔH_f (0 K): -76 meV/atom
theoretical density: 7738 kg/m³
density of states at the Fermi level: 5.91 states/eV/f.u.

a = 8.2700 Å, b = 3.8102 Å, c = 6.1191 Å
α = 71.46°, β = 72.92°, γ = 76.70°
Last column: nearest neighbours and their distance in Å.
Fractional positions:
1 Pd 0.0000 0.0000 0.0000  10 Zn 2.71-2.72, 2 Mn 2.81
2 Zn 0.9953 0.3339 0.3354  7 Zn 2.69-2.78, 2 Pd 2.71-2.72, 3 Mn 2.74-2.80
3 Zn 0.2454 0.7528 0.2502  2 Mn 2.70-2.71, 9 Zn 2.70-2.79, 1 Pd 2.72
4 Zn 0.4999 0.8351 0.8282  2 Mn 2.67-2.70, 10 Zn 2.69-2.80
5 Zn 0.2475 0.4192 0.9136  8 Zn 2.69-2.80, 2 Mn 2.71-2.72, 2 Pd 2.71-2.72
6 Zn 0.5001 0.1649 0.1718  2 Mn 2.67-2.70, 10 Zn 2.69-2.80
7 Zn 0.5000 0.5000 0.5000  4 Mn 2.68-2.69, 8 Zn 2.69-2.78
8 Zn 0.7546 0.2472 0.7498  2 Mn 2.70-2.71, 9 Zn 2.70-2.79, 1 Pd 2.72
9 Zn 0.0047 0.6661 0.6646  7 Zn 2.69-2.78, 2 Pd 2.71-2.72, 3 Mn 2.74-2.80
10 Zn 0.7525 0.5808 0.0864  8 Zn 2.69-2.80, 2 Mn 2.71-2.72, 2 Pd 2.71-2.72
11 Mn 0.7423 0.9174 0.4230  11 Zn 2.67-2.80, 1 Pd 2.81
12 Mn 0.2577 0.0826 0.5770  11 Zn 2.67-2.80, 1 Pd 2.81

# 3
Entry from Alexandria: an optimized crystal structure of LiBeAu2 (PBE).

ΔH_f (0 K): -174 meV/atom
theoretical density: 10984 kg/m³
density of states at the Fermi level: 0.86 states/eV/f.u.

a = 7.7975 Å, b = 7.7975 Å, c = 7.7975 Å
α = 22.70°, β = 22.70°, γ = 22.70°
Last column: nearest neighbours and their distance in Å.
Fractional positions:
1 Be 0.2500 0.2500 0.2500  6 Au 2.41
2 Au 0.5117 0.5117 0.5117  3 Be 2.41
3 Au 0.9883 0.9883 0.9883  3 Be 2.41
4 Li 0.7500 0.7500 0.7500  6 Au 2.80, 6 Li 3.07

# 4
Entry from Alexandria: an optimized crystal structure of CsSrBi (PBE).

ΔH_f (0 K): -481 meV/atom
theoretical density: 4238 kg/m³
density of states at the Fermi level: 0.04 states/eV/f.u.

a = 5.6822 Å, b = 5.6822 Å, c = 6.0179 Å
α = 90.00°, β = 90.00°, γ = 120.00°
Last column: nearest neighbours and their distance in Å.
Fractional positions:
1 Sr 0.0000 0.0000 0.0000  3 Bi 3.28
2 Cs 0.6667 0.3333 0.5000  6 Bi 4.45, 6 Sr 4.45
3 Bi 0.3333 0.6667 0.0000  3 Sr 3.28

# 5
Entry from Alexandria: an optimized crystal structure of TlCd9Ga2 (PBE).

ΔH_f (0 K): 36 meV/atom
theoretical density: 7940 kg/m³
density of states at the Fermi level: 3.11 states/eV/f.u.

a = 7.8609 Å, b = 9.3580 Å, c = 9.3580 Å
α = 79.84°, β = 65.17°, γ = 65.17°
Last column: nearest neighbours and their distance in Å.
Fractional positions:
1 Cd 0.5990 0.3179 0.0753  2 Ga 2.89-3.04, 6 Cd 2.91-3.21
2 Cd 0.1510 0.4247 0.1821  2 Ga 2.89-3.04, 6 Cd 2.91-3.21
3 Cd 0.7578 0.8179 0.5753  2 Ga 2.89-3.04, 6 Cd 2.91-3.21
4 Cd 0.7500 0.5000 0.5000  4 Ga 3.16, 8 Cd 3.21
5 Cd 0.4243 0.8179 0.4247  2 Ga 2.89-3.04, 6 Cd 2.91-3.21
6 Cd 0.9922 0.6821 0.9247  2 Ga 2.89-3.04, 6 Cd 2.91-3.21
7 Cd 0.0831 0.9247 0.3179  2 Ga 2.89-3.04, 6 Cd 2.91-3.21
8 Cd 0.5990 0.0753 0.3179  2 Ga 2.89-3.04, 6 Cd 2.91-3.21
9 Cd 0.3257 0.0753 0.6821  2 Ga 2.89-3.04, 6 Cd 2.91-3.21
10 Cd 0.0831 0.3179 0.9247  2 Ga 2.89-3.04, 6 Cd 2.91-3.21
11 Cd 0.4243 0.4247 0.8179  2 Ga 2.89-3.04, 6 Cd 2.91-3.21
12 Cd 0.7578 0.5753 0.8179  2 Ga 2.89-3.04, 6 Cd 2.91-3.21
13 Cd 0.3257 0.6821 0.0753  2 Ga 2.89-3.04, 6 Cd 2.91-3.21
14 Cd 0.1510 0.1821 0.4247  2 Ga 2.89-3.04, 6 Cd 2.91-3.21
15 Cd 0.6669 0.5753 0.1821  2 Ga 2.89-3.04, 6 Cd 2.91-3.21
16 Cd 0.0000 0.0000 0.0000  4 Ga 3.16, 8 Cd 3.21
17 Cd 0.6669 0.1821 0.5753  2 Ga 2.89-3.04, 6 Cd 2.91-3.21
18 Cd 0.9922 0.9247 0.6821  2 Ga 2.89-3.04, 6 Cd 2.91-3.21
19 Ga 0.3750 0.7500 0.7500  10 Cd 2.89-3.16
20 Ga 0.8750 0.7500 0.2500  10 Cd 2.89-3.16
21 Ga 0.8750 0.2500 0.7500  10 Cd 2.89-3.16
22 Ga 0.8750 0.2500 0.2500  10 Cd 2.89-3.16
23 Tl 0.5000 0.0000 0.0000  18 Cd 3.62-3.94
24 Tl 0.2500 0.5000 0.5000  18 Cd 3.62-3.94

# 6
Entry from Alexandria: an optimized crystal structure of LaTi2Tl2 (PBE).

ΔH_f (0 K): 134 meV/atom
energy above the lowest structure with this stoichiometry: 130 meV/atom
theoretical density: 9026 kg/m³
density of states at the Fermi level: 6.00 states/eV/f.u.

a = 8.4683 Å, b = 8.4683 Å, c = 3.3011 Å
α = 90.00°, β = 90.00°, γ = 90.00°
Last column: nearest neighbours and their distance in Å.
Fractional positions:
1 Tl 0.3708 0.8708 0.0000  6 Ti 2.91-3.05, 1 Tl 3.09
2 Tl 0.8708 0.6292 0.0000  6 Ti 2.91-3.05, 1 Tl 3.09
3 Tl 0.6292 0.1292 0.0000  6 Ti 2.91-3.05, 1 Tl 3.09
4 Tl 0.1292 0.3708 0.0000  6 Ti 2.91-3.05, 1 Tl 3.09
5 Ti 0.8298 0.3298 0.5000  6 Tl 2.91-3.05
6 Ti 0.6702 0.8298 0.5000  6 Tl 2.91-3.05
7 Ti 0.3298 0.1702 0.5000  6 Tl 2.91-3.05
8 Ti 0.1702 0.6702 0.5000  6 Tl 2.91-3.05
9 La 0.0000 0.0000 0.0000  2 La 3.30, 4 Tl 3.33, 8 Ti 3.55
10 La 0.5000 0.5000 0.0000  2 La 3.30, 4 Tl 3.33, 8 Ti 3.55

# 7
Entry from Alexandria: an optimized crystal structure of ZrTl2Pb (PBE).

ΔH_f (0 K): 326 meV/atom
energy above the lowest structure with this stoichiometry: 299 meV/atom
theoretical density: 10688 kg/m³
density of states at the Fermi level: 4.39 states/eV/f.u.

a = 5.3761 Å, b = 5.3761 Å, c = 5.3761 Å
α = 60.00°, β = 60.00°, γ = 60.00°
Last column: nearest neighbours and their distance in Å.
Fractional positions:
1 Tl 0.0000 0.0000 0.0000  4 Zr 3.29, 4 Tl 3.29
2 Tl 0.2500 0.2500 0.2500  4 Tl 3.29, 4 Pb 3.29
3 Pb 0.5000 0.5000 0.5000  4 Tl 3.29, 4 Zr 3.29
4 Zr 0.7500 0.7500 0.7500  4 Pb 3.29, 4 Tl 3.29

# 8
Entry from Alexandria: an optimized crystal structure of Ho2HfSe5 (PBE).

E_form (uncorrected): -1.58 eV per atom
theoretical density: 6127 kg/m³

a = 5.4645 Å, b = 7.2922 Å, c = 13.2507 Å
α = 90.00°, β = 90.00°, γ = 112.00°
Last column: nearest neighbours and their distance in Å.
Fractional positions:
1 Hf 0.8078 0.6155 0.7500  6 Se 2.58-2.79
2 Hf 0.1922 0.3845 0.2500  6 Se 2.58-2.79
3 Ho 0.1486 0.2972 0.5597  6 Se 2.78-2.97
4 Ho 0.1486 0.2972 0.9403  6 Se 2.78-2.97
5 Ho 0.8514 0.7028 0.4403  6 Se 2.78-2.97
6 Ho 0.8514 0.7028 0.0597  6 Se 2.78-2.97
7 Se 0.6860 0.3720 0.9162  1 Hf 2.75, 3 Ho 2.80-2.94
8 Se 0.3140 0.6280 0.0838  1 Hf 2.75, 3 Ho 2.80-2.94
9 Se 0.9523 0.9046 0.8771  1 Hf 2.58, 2 Ho 2.78
10 Se 0.9523 0.9046 0.6229  1 Hf 2.58, 2 Ho 2.78
11 Se 0.3140 0.6280 0.4162  1 Hf 2.75, 3 Ho 2.80-2.94
12 Se 0.6860 0.3720 0.5838  1 Hf 2.75, 3 Ho 2.80-2.94
13 Se 0.0477 0.0954 0.3771  1 Hf 2.58, 2 Ho 2.78
14 Se 0.0477 0.0954 0.1229  1 Hf 2.58, 2 Ho 2.78
15 Se 0.7358 0.4716 0.2500  2 Hf 2.79, 2 Ho 2.97
16 Se 0.2642 0.5284 0.7500  2 Hf 2.79, 2 Ho 2.97

Question: theoretical density of number 4 (CsSrBi)?
Answer: 4238 kg/m³

Copy entry 4 word for word.
Entry from Alexandria: an optimized crystal structure of CsSrBi (PBE).

ΔH_f (0 K): -481 meV/atom
theoretical density: 4238 kg/m³
density of states at the Fermi level: 0.04 states/eV/f.u.

a = 5.6822 Å, b = 5.6822 Å, c = 6.0179 Å
α = 90.00°, β = 90.00°, γ = 120.00°
Last column: nearest neighbours and their distance in Å.
Fractional positions:
1 Sr 0.0000 0.0000 0.0000  3 Bi 3.28
2 Cs 0.6667 0.3333 0.5000  6 Bi 4.45, 6 Sr 4.45
3 Bi 0.3333 0.6667 0.0000  3 Sr 3.28

Question: What is the formula in the seventh record?
Answer: ZrTl2Pb